# SnHgPS2 | the Alexandria database | PBE | relaxed
data_SnHgPS2
_chemical_formula_sum 'Sn1 Hg1 P1 S2'
_cell_length_a 4.996
_cell_length_b 4.996
_cell_length_c 5.304
_cell_angle_alpha 90.00
_cell_angle_beta 90.00
_cell_angle_gamma 90.00
_symmetry_space_group_name_H-M 'P 1'
_symmetry_Int_Tables_number 1
_symmetry_space_group_name_Hall 'P 1'
loop_
_atom_site_label
_atom_site_type_symbol
_atom_site_fract_x
_atom_site_fract_y
_atom_site_fract_z
Hg1 Hg 0.500 0.500 0.500
Sn1 Sn 0.000 0.000 0.000
S1 S 0.000 0.500 0.000
S2 S 0.500 0.000 0.000
P1 P 0.000 0.000 0.500
# - space group = P4/mmm
# - V (Å³/cell) = 132.4
# - formation energy (no corrections) (eV per atom) = 0.6359
# - E above lowest polymorph (eV per atom) = 0.0000